No. 1
Compound: ThSnP2
Source: Alexandria via LeMat-Bulk
Functional: GGA-PBE
Structure: relaxed

```
ThSnP2
1.0
4.2143 0.0000 0.0000
2.1072 3.6497 0.0000
2.1072 1.2166 6.8292
Th Sn P
1 1 2
direct
0.6630 0.6630 0.0111
0.4916 0.4916 0.5251
0.0829 0.0829 0.7513
0.2625 0.2625 0.2124
```

## Properties
Formation energy   -0.62 eV/atom
Distance to the lowest polymorph of the same formula   5.64 kJ/mol of atoms
V   26.3 Å³ per atom
Space group   R3m

---

No. 2
Compound: Pr8Nd2Sc
Source: Alexandria via LeMat-Bulk
Functional: GGA-PBE
Structure: relaxed

```
Pr8Nd2Sc
1.0
-2.2944 2.6332 4.6591
1.6034 -6.5489 4.4908
7.7581 5.0698 -2.6833
Pr Nd Sc
8 2 1
direct
0.6296 0.8388 0.2591
0.3704 0.5797 0.7409
0.1652 0.1652 0.3305
0.0000 0.2800 0.0000
0.8348 0.8348 0.6695
0.6296 0.4203 0.2591
0.3704 0.1612 0.7409
0.0000 0.7200 0.0000
0.2002 0.7002 0.4004
0.7998 0.2998 0.5996
0.5000 0.0000 0.0000
```

## Properties
Formation energy   0.11 eV/atom
Distance to the lowest polymorph of the same formula   0.00 kJ/mol of atoms
V   35.4 Å³ per atom
Space group   Immm

---

No. 3
Compound: NdSbH2Ru
Source: Alexandria via LeMat-Bulk
Functional: GGA-PBE
Structure: relaxed

```
NdSbH2Ru
1.0
4.2460 0.0000 0.0000
-2.1230 5.4780 0.0000
0.0000 0.0000 6.1866
Nd Sb H Ru
2 2 4 2
direct
0.7102 0.4204 0.7500
0.2898 0.5796 0.2500
0.4263 0.8527 0.7500
0.5737 0.1473 0.2500
0.1562 0.3124 0.9377
0.8438 0.6876 0.0623
0.1562 0.3124 0.5623
0.8438 0.6876 0.4377
0.0000 0.0000 0.0000
0.0000 0.0000 0.5000
```

## Properties
V   14.4 Å³ per atom
Space group   Cmcm
VASP energy   -5.519 eV per atom

---

No. 4
Compound: MgNi2Au2
Source: Alexandria via LeMat-Bulk
Functional: GGA-PBE
Structure: relaxed

```
MgNi2Au2
1.0
-0.7468 6.7497 0.5873
-5.7334 -0.9444 3.5633
1.7813 -0.0511 2.8526
Ni Mg Au
4 2 4
direct
0.3747 0.8747 0.0000
0.8747 0.6253 0.0000
0.6253 0.1253 0.0000
0.1253 0.3747 0.0000
0.0000 0.0000 0.0000
0.5000 0.5000 0.0000
0.1715 0.6715 0.5000
0.6715 0.8285 0.5000
0.8285 0.3285 0.5000
0.3285 0.1715 0.5000
```

## Properties
Formation energy   -0.08 eV/atom
Distance to the lowest polymorph of the same formula   0.00 kJ/mol of atoms
V   15.6 Å³ per atom
Space group   P4/mbm

---

No. 5
Compound: TaCdFe
Source: Alexandria via LeMat-Bulk
Functional: GGA-PBE
Structure: relaxed

```
TaCdFe
1.0
4.4014 0.0000 0.0000
2.2007 3.8117 0.0000
2.2007 1.2706 3.5937
Cd Fe Ta
1 1 1
direct
0.0000 0.0000 0.0000
0.5000 0.5000 0.5000
0.7500 0.7500 0.7500
```

## Properties
Formation energy   1.09 eV/atom
Distance to the lowest polymorph of the same formula   85.10 kJ/mol of atoms
V   20.1 Å³ per atom
Space group   F-43m

---

No. 6
Compound: TbPm2Nd2
Source: Alexandria via LeMat-Bulk
Functional: GGA-PBE
Structure: relaxed

```
TbPm2Nd2
1.0
-4.8291 -4.1362 0.3771
1.7470 -7.3369 -4.3102
3.5121 -8.8000 2.2464
Tb Pm Nd
2 4 4
direct
0.5819 0.7500 0.2500
0.4181 0.2500 0.7500
0.7817 0.7526 0.8496
0.3839 0.7474 0.6504
0.2183 0.2474 0.1504
0.6161 0.2526 0.3496
0.8170 0.2495 0.9499
0.0163 0.2505 0.5501
0.1830 0.7505 0.0501
0.9837 0.7495 0.4499
```

## Properties
Formation energy   0.03 eV/atom
Distance to the lowest polymorph of the same formula   0.00 kJ/mol of atoms
V   34.6 Å³ per atom
Space group   C2/c

---

No. 7
Compound: Cs2UNiS4
Source: Alexandria via LeMat-Bulk
Functional: GGA-PBE
Structure: relaxed

```
Cs2UNiS4
1.0
-1.8246 5.9009 -3.5450
-4.1618 -5.7083 -0.9013
-0.6141 0.1910 7.0925
Cs U Ni S
2 1 1 4
direct
0.5000 0.7500 0.2500
0.0000 0.0000 0.0000
0.5000 0.2500 0.7500
0.0000 0.5000 0.5000
0.6443 0.3757 0.4961
0.1204 0.2685 0.6243
0.8796 0.5038 0.1481
0.3557 0.8519 0.7315
```

## Properties
Formation energy from raw total energies   -900 meV/atom
V   33.3 Å³ per atom
Space group   I-4

---

No. 8
Compound: Ag2PdW2
Source: Alexandria via LeMat-Bulk
Functional: GGA-PBE
Structure: relaxed

```
Ag2PdW2
1.0
3.6660 0.0000 0.0000
0.0000 3.6660 0.0000
1.8330 1.8330 6.8973
Pd Ag W
1 2 2
direct
0.0000 0.0000 0.0000
0.7500 0.2500 0.5000
0.2500 0.7500 0.5000
0.4164 0.4164 0.1673
0.5836 0.5836 0.8327
```

## Properties
Formation energy   1.03 eV/atom
Distance to the lowest polymorph of the same formula   12.89 kJ/mol of atoms
V   18.5 Å³ per atom
Space group   I4/mmm